# 1
VASP calculation (GGA-PBE) on a relaxed PaBi3Te6 crystal.

Computed properties:
**V**: 34.9 Å³/atom
**ΔE_f (raw)**: -339 meV per atom

Cell: 12.6312 4.2416 13.1517 Å, 90.00 98.16 90.00°
Positions (direct):
Pa: 0.1835 0.2500 0.0295
Pa: 0.8165 0.7500 0.9705
Bi: 0.0098 0.7500 0.3338
Bi: 0.3875 0.2500 0.3821
Bi: 0.4389 0.7500 0.8214
Bi: 0.5611 0.2500 0.1786
Bi: 0.6125 0.7500 0.6179
Bi: 0.9902 0.2500 0.6662
Te: 0.0507 0.7500 0.8920
Te: 0.1324 0.2500 0.4575
Te: 0.1959 0.7500 0.2081
Te: 0.2674 0.2500 0.8008
Te: 0.3713 0.7500 0.0456
Te: 0.3791 0.7500 0.5556
Te: 0.6209 0.2500 0.4444
Te: 0.6287 0.2500 0.9544
Te: 0.7326 0.7500 0.1992
Te: 0.8041 0.2500 0.7919
Te: 0.8676 0.7500 0.5425
Te: 0.9493 0.2500 0.1080



# 2
VASP calculation (GGA-PBE) on a relaxed Pa3Bi5Te12 crystal.

Computed properties:
**V**: 38.8 Å³/atom
**ΔE_f (raw)**: -221 meV per atom

Cell: 15.9149 15.9149 15.9149 Å, 109.47 109.47 109.47°
Positions (direct):
Pa: 0.1250 0.2500 0.3750
Pa: 0.1250 0.3750 0.7500
Pa: 0.2500 0.3750 0.1250
Pa: 0.2500 0.8750 0.6250
Pa: 0.3750 0.1250 0.2500
Pa: 0.3750 0.7500 0.1250
Pa: 0.6250 0.2500 0.8750
Pa: 0.6250 0.8750 0.7500
Pa: 0.7500 0.1250 0.3750
Pa: 0.7500 0.6250 0.8750
Pa: 0.8750 0.6250 0.2500
Pa: 0.8750 0.7500 0.6250
Bi: 0.0000 0.0000 0.0000
Bi: 0.0000 0.0000 0.5000
Bi: 0.0000 0.5000 0.0000
Bi: 0.0000 0.5000 0.5000
Bi: 0.1250 0.7500 0.8750
Bi: 0.1250 0.8750 0.2500
Bi: 0.2500 0.1250 0.8750
Bi: 0.2500 0.6250 0.3750
Bi: 0.3750 0.2500 0.6250
Bi: 0.3750 0.6250 0.7500
Bi: 0.5000 0.0000 0.0000
Bi: 0.5000 0.0000 0.5000
Bi: 0.5000 0.5000 0.0000
Bi: 0.5000 0.5000 0.5000
Bi: 0.6250 0.3750 0.2500
Bi: 0.6250 0.7500 0.3750
Bi: 0.7500 0.3750 0.6250
Bi: 0.7500 0.8750 0.1250
Bi: 0.8750 0.1250 0.7500
Bi: 0.8750 0.2500 0.1250
Te: 0.0599 0.2260 0.1437
Te: 0.0599 0.3339 0.9162
Te: 0.0823 0.7260 0.6661
Te: 0.0823 0.8563 0.4162
Te: 0.0838 0.6437 0.4177
Te: 0.0838 0.9401 0.6661
Te: 0.1437 0.0599 0.2260
Te: 0.1437 0.5838 0.9177
Te: 0.1661 0.2260 0.5823
Te: 0.1661 0.4401 0.5838
Te: 0.2260 0.1437 0.0599
Te: 0.2260 0.5823 0.1661
Te: 0.2740 0.3339 0.9177
Te: 0.2740 0.4401 0.3563
Te: 0.3339 0.9162 0.0599
Te: 0.3339 0.9177 0.2740
Te: 0.3563 0.2740 0.4401
Te: 0.3563 0.5823 0.9162
Te: 0.4162 0.0823 0.8563
Te: 0.4162 0.8339 0.5599
Te: 0.4177 0.0838 0.6437
Te: 0.4177 0.8339 0.7740
Te: 0.4401 0.3563 0.2740
Te: 0.4401 0.5838 0.1661
Te: 0.5599 0.4162 0.8339
Te: 0.5599 0.6437 0.7260
Te: 0.5823 0.1661 0.2260
Te: 0.5823 0.9162 0.3563
Te: 0.5838 0.1661 0.4401
Te: 0.5838 0.9177 0.1437
Te: 0.6437 0.4177 0.0838
Te: 0.6437 0.7260 0.5599
Te: 0.6661 0.0823 0.7260
Te: 0.6661 0.0838 0.9401
Te: 0.7260 0.5599 0.6437
Te: 0.7260 0.6661 0.0823
Te: 0.7740 0.4177 0.8339
Te: 0.7740 0.8563 0.9401
Te: 0.8339 0.5599 0.4162
Te: 0.8339 0.7740 0.4177
Te: 0.8563 0.4162 0.0823
Te: 0.8563 0.9401 0.7740
Te: 0.9162 0.0599 0.3339
Te: 0.9162 0.3563 0.5823
Te: 0.9177 0.1437 0.5838
Te: 0.9177 0.2740 0.3339
Te: 0.9401 0.6661 0.0838
Te: 0.9401 0.7740 0.8563



- What is the V in the first record?
  34.9 Å³/atom